Entry 1:
DFT (PBE) results for crystalline Pr2InCo at its relaxed geometry.

Lattice parameters (Å, degrees): 10.1656 10.1656 10.1656 22.09 22.09 22.09
Atoms (fractional coordinates):
1 Pr 0.1143 0.1143 0.1143
2 Pr 0.8857 0.8857 0.8857
3 In 0.0000 0.0000 0.0000
4 Co 0.5000 0.5000 0.5000

Total magnetic moment: 0.000 μB/f.u.
ΔE_f: 0.09 eV per atom
Energy: -19.03 eV per cell

Entry 2:
DFT (PBE) results for crystalline KTcIrO6 at its relaxed geometry.

Lattice parameters (Å, degrees): 5.3495 5.3495 5.8148 90.00 90.00 120.00
Atoms (fractional coordinates):
1 K 0.0000 0.0000 0.0000
2 Tc 0.3333 0.6667 0.5000
3 Ir 0.6667 0.3333 0.5000
4 O 0.0052 0.3945 0.6791
5 O 0.0052 0.6107 0.3209
6 O 0.3893 0.3945 0.3209
7 O 0.3893 0.9948 0.6791
8 O 0.6055 0.6107 0.6791
9 O 0.6055 0.9948 0.3209

Total magnetic moment: 0.000 μB/f.u.
ΔE_f (raw): -1190 meV/atom
Energy: -60.78 eV per cell

Entry 3:
DFT (PBE) results for crystalline TbBr2Cl at its relaxed geometry.

Lattice parameters (Å, degrees): 7.2553 6.7151 11.8672 90.00 90.00 90.00
Atoms (fractional coordinates):
1 Tb 0.2500 0.0000 0.0923
2 Tb 0.2500 0.5000 0.4077
3 Tb 0.7500 0.0000 0.9077
4 Tb 0.7500 0.5000 0.5923
5 Br 0.0742 0.2314 0.9239
6 Br 0.0742 0.2686 0.5761
7 Br 0.4258 0.7314 0.5761
8 Br 0.4258 0.7686 0.9239
9 Br 0.5742 0.2314 0.0761
10 Br 0.5742 0.2686 0.4239
11 Br 0.9258 0.7314 0.4239
12 Br 0.9258 0.7686 0.0761
13 Cl 0.1238 0.2500 0.2500
14 Cl 0.3762 0.7500 0.2500
15 Cl 0.6238 0.2500 0.7500
16 Cl 0.8762 0.7500 0.7500

Total magnetic moment: 0.000 μB/f.u.
ΔE_f (raw): -2006 meV/atom
Energy: -71.38 eV per cell
Distance to the lowest polymorph of the same formula: 0 meV/atom

Entry 4:
DFT (PBE) results for crystalline SrSbRuPb2 at its relaxed geometry.

Lattice parameters (Å, degrees): 5.8576 5.8576 5.7690 90.00 90.00 90.00
Atoms (fractional coordinates):
1 Sr 0.0000 0.0000 0.0000
2 Sb 0.0000 0.0000 0.5000
3 Ru 0.5000 0.5000 0.5000
4 Pb 0.0000 0.5000 0.0000
5 Pb 0.5000 0.0000 0.0000

Total magnetic moment: 2.499 μB/f.u.
ΔE_f (raw): 1626 meV/atom
Energy: -14.36 eV per cell

Entry 5:
DFT (PBE) results for crystalline TaSbP2O at its relaxed geometry.

Lattice parameters (Å, degrees): 5.0087 5.0087 3.8422 90.00 90.00 90.00
Atoms (fractional coordinates):
1 Ta 0.0000 0.0000 0.0000
2 Sb 0.5000 0.5000 0.5000
3 P 0.0000 0.5000 0.0000
4 P 0.5000 0.0000 0.0000
5 O 0.0000 0.0000 0.5000

Total magnetic moment: 0.000 μB/f.u.
ΔE_f (raw): -526 meV/atom
Energy: -34.38 eV per cell
Distance to the lowest polymorph of the same formula: 0 meV/atom

Entry 6:
DFT (PBE) results for crystalline Pr3SmSe6 at its relaxed geometry.

Lattice parameters (Å, degrees): 8.6999 8.6999 8.6999 91.18 91.18 91.18
Atoms (fractional coordinates):
1 Pr 0.0687 0.7470 0.5777
2 Pr 0.2530 0.4223 0.9313
3 Pr 0.4223 0.9313 0.2530
4 Pr 0.5777 0.0687 0.7470
5 Pr 0.7470 0.5777 0.0687
6 Pr 0.9313 0.2530 0.4223
7 Sm 0.0000 0.0000 0.0000
8 Sm 0.5000 0.5000 0.5000
9 Se 0.0377 0.6830 0.9089
10 Se 0.0911 0.9623 0.3170
11 Se 0.1869 0.4192 0.5895
12 Se 0.3170 0.0911 0.9623
13 Se 0.4105 0.8131 0.5808
14 Se 0.4192 0.5895 0.1869
15 Se 0.5808 0.4105 0.8131
16 Se 0.5895 0.1869 0.4192
17 Se 0.6830 0.9089 0.0377
18 Se 0.8131 0.5808 0.4105
19 Se 0.9089 0.0377 0.6830
20 Se 0.9623 0.3170 0.0911

Total magnetic moment: 0.000 μB/f.u.
ΔE_f (raw): -1857 meV/atom
Energy: -117.07 eV per cell
Distance to the lowest polymorph of the same formula: 0 meV/atom

Entry 7:
DFT (PBE) results for crystalline SrReGe2 at its relaxed geometry.

Lattice parameters (Å, degrees): 8.7067 8.7067 8.7067 143.98 143.98 51.86
Atoms (fractional coordinates):
1 Sr 0.0000 0.0000 0.0000
2 Sr 0.7500 0.2500 0.5000
3 Re 0.2500 0.7500 0.5000
4 Re 0.5000 0.5000 0.0000
5 Ge 0.3740 0.6250 0.2490
6 Ge 0.3750 0.6240 0.7490
7 Ge 0.3760 0.1250 0.7510
8 Ge 0.8750 0.6260 0.2510

Total magnetic moment: 0.000 μB/f.u.
ΔE_f: 0.04 eV per atom
Energy: -46.42 eV per cell
Distance to the lowest polymorph of the same formula: 0 meV/atom

Entry 8:
DFT (PBE) results for crystalline TmPuCd4 at its relaxed geometry.

Lattice parameters (Å, degrees): 5.9121 5.9121 5.9121 60.00 60.00 60.00
Atoms (fractional coordinates):
1 Tm 0.0000 0.0000 0.0000
2 Pu 0.7500 0.7500 0.7500
3 Cd 0.3749 0.3749 0.3749
4 Cd 0.3749 0.3749 0.8752
5 Cd 0.3749 0.8752 0.3749
6 Cd 0.8752 0.3749 0.3749

Total magnetic moment: 5.754 μB/f.u.
ΔE_f: -0.11 eV per atom
Energy: -23.11 eV per cell
Distance to the lowest polymorph of the same formula: 48 meV/atom

Entry 9:
DFT (PBE) results for crystalline Sc2Co5GeB2 at its relaxed geometry.

Lattice parameters (Å, degrees): 8.6622 8.6622 3.0004 90.00 90.00 90.00
Atoms (fractional coordinates):
1 Sc 0.1757 0.3243 0.0000
2 Sc 0.3243 0.8243 0.0000
3 Sc 0.6757 0.1757 0.0000
4 Sc 0.8243 0.6757 0.0000
5 Co 0.0000 0.5000 0.5000
6 Co 0.0695 0.7793 0.5000
7 Co 0.2207 0.0695 0.5000
8 Co 0.2793 0.5695 0.5000
9 Co 0.4305 0.2793 0.5000
10 Co 0.5000 0.0000 0.5000
11 Co 0.5695 0.7207 0.5000
12 Co 0.7207 0.4305 0.5000
13 Co 0.7793 0.9305 0.5000
14 Co 0.9305 0.2207 0.5000
15 Ge 0.0000 0.0000 0.0000
16 Ge 0.5000 0.5000 0.0000
17 B 0.1195 0.6195 0.0000
18 B 0.3805 0.1195 0.0000
19 B 0.6195 0.8805 0.0000
20 B 0.8805 0.3805 0.0000

Total magnetic moment: 0.000 μB/f.u.
ΔE_f: -0.57 eV per atom
Energy: -143.68 eV per cell

Entry 10:
DFT (PBE) results for crystalline Sm3Se2N at its relaxed geometry.

Lattice parameters (Å, degrees): 7.1502 7.1502 7.5740 105.37 105.37 46.65
Atoms (fractional coordinates):
1 Sm 0.0007 0.9993 0.7500
2 Sm 0.3682 0.3685 0.9343
3 Sm 0.3685 0.3682 0.4343
4 Sm 0.6315 0.6318 0.5657
5 Sm 0.6318 0.6315 0.0657
6 Sm 0.9993 0.0007 0.2500
7 Se 0.1772 0.1776 0.5888
8 Se 0.1776 0.1772 0.0888
9 Se 0.8224 0.8228 0.9112
10 Se 0.8228 0.8224 0.4112
11 N 0.4992 0.5008 0.7500
12 N 0.5008 0.4992 0.2500

Total magnetic moment: 0.000 μB/f.u.
ΔE_f (raw): -1639 meV/atom
Energy: -78.57 eV per cell
Distance to the lowest polymorph of the same formula: 0 meV/atom

Entry 11:
DFT (PBE) results for crystalline Sc3PbO2 at its relaxed geometry.

Lattice parameters (Å, degrees): 3.2218 10.3134 5.8264 90.00 90.00 90.00
Atoms (fractional coordinates):
1 Sc 0.0000 0.0982 0.0000
2 Sc 0.0000 0.9018 0.5000
3 Sc 0.5000 0.1546 0.5010
4 Sc 0.5000 0.3790 0.8111
5 Sc 0.5000 0.6210 0.3111
6 Sc 0.5000 0.8454 0.0010
7 Pb 0.0000 0.3682 0.2630
8 Pb 0.0000 0.6318 0.7630
9 O 0.0000 0.2434 0.7343
10 O 0.0000 0.7566 0.2343
11 O 0.5000 0.0021 0.2461
12 O 0.5000 0.9979 0.7461

Total magnetic moment: 0.000 μB/f.u.
ΔE_f (raw): -1927 meV/atom
Energy: -88.36 eV per cell

Entry 12:
DFT (PBE) results for crystalline CaMg2Hg at its relaxed geometry.

Lattice parameters (Å, degrees): 11.7160 11.7160 11.7160 158.12 158.12 31.14
Atoms (fractional coordinates):
1 Ca 0.0000 0.0000 0.0000
2 Ca 0.7500 0.2500 0.5000
3 Mg 0.1448 0.6250 0.0198
4 Mg 0.3750 0.3948 0.5198
5 Mg 0.6052 0.1250 0.9802
6 Mg 0.8750 0.8552 0.4802
7 Hg 0.2500 0.7500 0.5000
8 Hg 0.5000 0.5000 0.0000

Total magnetic moment: 0.000 μB/f.u.
ΔE_f: -0.05 eV per atom
Energy: -11.40 eV per cell